No. 1
Here is a geometry-optimized PuPaGa structure from Alexandria via LeMat-Bulk. Energies are from PBE.

The value obtained for the formation energy is -24 kJ/mol of formula units. Its calculated total energy is -27.104 eV per cell.

```
PuPaGa
1.0
4.9569 0.0000 0.0000
-2.4784 4.2928 0.0000
0.0000 0.0000 2.9669
Pu Pa Ga
1 1 1
Cartesian
0.0000 0.0000 0.0000
0.0000 2.8618 0.0000
2.4784 1.4309 1.4835
```

=====

No. 2
Here is a geometry-optimized Fe2PdRuC structure from Alexandria via LeMat-Bulk. Energies are from PBE.

The value obtained for the formation energy is 77 kJ/mol of formula units. Its calculated total energy is -39.816 eV per cell.

```
Fe2PdRuC
1.0
3.9260 0.0000 0.0000
0.0000 3.9260 0.0000
0.0000 0.0000 3.9678
Fe Pd Ru C
2 1 1 1
Cartesian
0.0000 1.9630 0.0000
1.9630 0.0000 0.0000
0.0000 0.0000 1.9839
1.9630 1.9630 1.9839
1.9630 1.9630 0.0000
```

=====

No. 3
Here is a geometry-optimized Ce2PmMgIn4 structure from Alexandria via LeMat-Bulk. Energies are from PBE.

The value obtained for the formation energy is -268 kJ/mol of formula units. Its calculated total energy is -31.946 eV per cell.

```
Ce2PmMgIn4
1.0
2.6560 1.5334 8.9872
-2.6560 1.5334 8.9872
0.0000 -3.0669 8.9872
Ce Pm Mg In
2 1 1 4
Cartesian
0.0000 0.0000 6.5464
0.0000 0.0000 20.4151
0.0000 0.0000 0.0000
0.0000 0.0000 13.4807
0.0000 0.0000 3.3497
0.0000 0.0000 10.1345
0.0000 0.0000 16.8270
0.0000 0.0000 23.6117
```

=====

No. 4
Here is a geometry-optimized Sm2MgS structure from Alexandria via LeMat-Bulk. Energies are from PBE.

Its uncorrected formation energy is -926 meV per atom. Its calculated total energy is -18.866 eV per cell.

```
Sm2MgS
1.0
1.9374 1.1186 8.6145
-1.9374 1.1186 8.6145
0.0000 -2.2372 8.6145
Sm Mg S
2 1 1
Cartesian
0.0000 0.0000 0.0000
0.0000 0.0000 5.3398
0.0000 0.0000 19.9056
0.0000 0.0000 15.5742
```